1.
YCuAg2C: optimized geometry, PBE.

- crystal system = tetragonal
- energy of formation from the pure elements (eV/atom) = 0.5046
- VASP energy (eV per atom) = -4.593

Structure (CIF):
```
data_YCuAg2C
_chemical_formula_sum 'Y1 Cu1 Ag2 C1'
_symmetry_space_group_name_H-M 'P 4/m m m'
_symmetry_Int_Tables_number 123
_symmetry_space_group_name_Hall '-P 4 2'
_cell_length_a 4.613
_cell_length_b 4.613
_cell_length_c 3.946
_cell_angle_alpha 90.00
_cell_angle_beta 90.00
_cell_angle_gamma 90.00
loop_
_atom_site_label
_atom_site_type_symbol
_atom_site_fract_x
_atom_site_fract_y
_atom_site_fract_z
Y1 Y 0.000 0.000 0.000
Cu1 Cu 0.500 0.500 0.000
Ag1 Ag 0.000 0.500 0.500
C1 C 0.500 0.500 0.500
```



2.
ZnCuAg2C: optimized geometry, PBE.

- crystal system = tetragonal
- energy of formation from the pure elements (eV/atom) = 0.9677
- VASP energy (eV per atom) = -3.092

Structure (CIF):
```
data_ZnCuAg2C
_chemical_formula_sum 'Zn1 Cu1 Ag2 C1'
_symmetry_space_group_name_H-M 'P 4/m m m'
_symmetry_Int_Tables_number 123
_symmetry_space_group_name_Hall '-P 4 2'
_cell_length_a 4.970
_cell_length_b 4.970
_cell_length_c 3.532
_cell_angle_alpha 90.00
_cell_angle_beta 90.00
_cell_angle_gamma 90.00
loop_
_atom_site_label
_atom_site_type_symbol
_atom_site_fract_x
_atom_site_fract_y
_atom_site_fract_z
Zn1 Zn 0.000 0.000 0.000
Cu1 Cu 0.500 0.500 0.500
Ag1 Ag 0.000 0.500 0.500
C1 C 0.500 0.500 0.000
```



3.
Dy2AgC: optimized geometry, PBE.

- crystal system = monoclinic
- energy of formation from the pure elements (eV/atom) = -0.2521
- relative energy among the computed polymorphs (kJ per mole of atoms) = 1.3
- VASP energy (eV per atom) = -5.572

Structure (CIF):
```
data_Dy2AgC
_chemical_formula_sum 'Dy4 Ag2 C2'
_symmetry_space_group_name_H-M 'P 1 21/m 1'
_symmetry_Int_Tables_number 11
_cell_length_a 6.293
_cell_length_b 3.643
_cell_length_c 7.729
_cell_angle_alpha 90.00
_cell_angle_beta 106.16
_cell_angle_gamma 90.00
loop_
_symmetry_equiv_pos_as_xyz
'x,y,z'
'-x,-y,-z'
'-x,y+1/2,-z'
'x,-y+1/2,z'
loop_
_atom_site_label
_atom_site_type_symbol
_atom_site_fract_x
_atom_site_fract_y
_atom_site_fract_z
Dy1 Dy 0.020 0.250 0.315
Dy2 Dy 0.476 0.250 0.676
Ag1 Ag 0.286 0.250 0.001
C1 C 0.246 0.750 0.496
```



4.
Dy2AgC: optimized geometry, PBE.

- crystal system = trigonal
- energy of formation from the pure elements (eV/atom) = -0.2655
- relative energy among the computed polymorphs (kJ per mole of atoms) = 0.0
- VASP energy (eV per atom) = -5.585

Structure (CIF):
```
data_Dy2AgC
_chemical_formula_sum 'Dy6 Ag3 C3'
_symmetry_space_group_name_H-M 'R 3 m'
_symmetry_Int_Tables_number 160
_symmetry_space_group_name_Hall 'R 3 -2"'
_cell_length_a 3.6458
_cell_length_b 3.6458
_cell_length_c 21.9203
_cell_angle_alpha 90.00
_cell_angle_beta 90.00
_cell_angle_gamma 120.00
loop_
_atom_site_label
_atom_site_type_symbol
_atom_site_fract_x
_atom_site_fract_y
_atom_site_fract_z
Dy1 Dy 0.0000 0.0000 0.0000
Dy2 Dy 0.0000 0.0000 0.2113
Ag1 Ag 0.0000 0.0000 0.4383
C1 C 0.0000 0.0000 0.6042
```



5.
Dy8AgC4: optimized geometry, PBE.

- crystal system = monoclinic
- energy of formation from the pure elements (eV/atom) = -0.2231
- VASP energy (eV per atom) = -6.113

Structure (CIF):
```
data_Dy8AgC4
_chemical_formula_sum 'Dy16 Ag2 C8'
_symmetry_space_group_name_H-M 'C 1 2/m 1'
_symmetry_Int_Tables_number 12
_cell_length_a 17.679
_cell_length_b 3.627
_cell_length_c 12.490
_cell_angle_alpha 90.00
_cell_angle_beta 134.91
_cell_angle_gamma 90.00
loop_
_symmetry_equiv_pos_as_xyz
'x,y,z'
'-x,-y,-z'
'-x,y,-z'
'x,-y,z'
'x+1/2,y+1/2,z'
'-x+1/2,-y+1/2,-z'
'-x+1/2,y+1/2,-z'
'x+1/2,-y+1/2,z'
loop_
_atom_site_label
_atom_site_type_symbol
_atom_site_fract_x
_atom_site_fract_y
_atom_site_fract_z
Dy1 Dy 0.045 0.000 0.205
Dy2 Dy 0.149 0.500 0.833
Dy3 Dy 0.158 0.500 0.113
Dy4 Dy 0.184 0.500 0.537
Ag1 Ag 0.000 0.000 0.500
C1 C 0.155 0.000 0.977
C2 C 0.178 0.500 0.333
```



6.
Dy4AgC2: optimized geometry, PBE.

- crystal system = orthorhombic
- energy of formation from the pure elements (eV/atom) = -0.2179
- relative energy among the computed polymorphs (kJ per mole of atoms) = 3.2
- VASP energy (eV per atom) = -5.890

Structure (CIF):
```
data_Dy4AgC2
_chemical_formula_sum 'Dy16 Ag4 C8'
_symmetry_space_group_name_H-M 'C m c m'
_symmetry_Int_Tables_number 63
_symmetry_space_group_name_Hall '-C 2c 2'
_cell_length_a 3.664
_cell_length_b 12.332
_cell_length_c 13.024
_cell_angle_alpha 90.00
_cell_angle_beta 90.00
_cell_angle_gamma 90.00
loop_
_atom_site_label
_atom_site_type_symbol
_atom_site_fract_x
_atom_site_fract_y
_atom_site_fract_z
Dy1 Dy 0.000 0.000 0.000
Dy2 Dy 0.000 0.264 0.103
Dy3 Dy 0.000 0.421 0.750
Ag1 Ag 0.000 0.112 0.750
C1 C 0.000 0.364 0.560
```